Material: ThScPb2
Method: DFT, GGA-PBE
State: relaxed

Properties
ΔE_f: -0.191 eV per atom

Cell: 5.408 5.408 5.408 Å, 60.00 60.00 60.00°
Atoms (fractional coordinates):
Pb1 0.250 0.250 0.250
Pb2 0.750 0.750 0.750
Sc1 0.500 0.500 0.500
Th1 0.000 0.000 0.000